Arrangement 1

First-principles (GGA-PBE) data for a relaxed structure of NbZnC3, as listed in Alexandria via LeMat-Bulk.

a = 4.212 Å, b = 4.212 Å, c = 4.212 Å
α = 90.00°, β = 90.00°, γ = 90.00°
Sites, in units of the cell vectors:
C 0.000 0.500 0.000
C 0.000 0.000 0.500
C 0.500 0.000 0.000
Nb 0.000 0.000 0.000
Zn 0.500 0.500 0.500

The space group is Pm-3m (221).

=====

Arrangement 2

First-principles (GGA-PBE) data for a relaxed structure of NbZnC3, as listed in Alexandria via LeMat-Bulk.

a = 3.831 Å, b = 3.831 Å, c = 3.831 Å
α = 90.00°, β = 90.00°, γ = 90.00°
Sites, in units of the cell vectors:
C 0.000 0.500 0.000
C 0.000 0.000 0.500
C 0.500 0.000 0.000
Nb 0.500 0.500 0.500
Zn 0.000 0.000 0.000

The space group is Pm-3m (221).

=====

Least stable structure: arrangement 2

=====

Arrangement 1

First-principles (GGA-PBE) data for a relaxed structure of ZrNbC3, as listed in Alexandria via LeMat-Bulk.

a = 4.094 Å, b = 4.094 Å, c = 4.094 Å
α = 90.00°, β = 90.00°, γ = 90.00°
Sites, in units of the cell vectors:
Nb 0.000 0.000 0.000
C 0.000 0.500 0.000
C 0.000 0.000 0.500
C 0.500 0.000 0.000
Zr 0.500 0.500 0.500

The space group is Pm-3m (221).

=====

Arrangement 2

First-principles (GGA-PBE) data for a relaxed structure of ZrNbC3, as listed in Alexandria via LeMat-Bulk.

a = 4.159 Å, b = 4.159 Å, c = 4.159 Å
α = 90.00°, β = 90.00°, γ = 90.00°
Each line ends with the local moment (μB).
Sites, in units of the cell vectors:
Nb 0.500 0.500 0.500  -0.86
C 0.000 0.500 0.000  0.01
C 0.000 0.000 0.500  0.03
C 0.500 0.000 0.000  0.00
Zr 0.000 0.000 0.000  0.00

The space group is Pm-3m (221).

=====

Least stable structure: arrangement 2

=====

Arrangement 1

First-principles (GGA-PBE) data for a relaxed structure of ZrNbC2, as listed in Alexandria via LeMat-Bulk.

a = 4.060 Å, b = 4.060 Å, c = 4.060 Å
α = 60.00°, β = 60.00°, γ = 60.00°
Sites, in units of the cell vectors:
Nb 0.500 0.500 0.500
C 0.250 0.250 0.250
C 0.750 0.750 0.750
Zr 0.000 0.000 0.000

The space group is Fm-3m (225).

=====

Arrangement 2

First-principles (GGA-PBE) data for a relaxed structure of ZrNbC2, as listed in Alexandria via LeMat-Bulk.

a = 5.657 Å, b = 5.657 Å, c = 5.657 Å
α = 33.42°, β = 33.42°, γ = 33.42°
Sites, in units of the cell vectors:
Nb 0.500 0.500 0.500
C 0.246 0.246 0.246
C 0.754 0.754 0.754
Zr 0.000 0.000 0.000

The space group is R-3m (166).

=====

Least stable structure: arrangement 1